1.
Here is crystalline Tl3In4Bi at its relaxed geometry from Alexandria via LeMat-Bulk. Energies are from GGA-PBE.

```
Tl3In4Bi
1.0
-3.783 2.883 5.043
4.131 -5.939 6.495
5.072 4.732 1.101
In Tl Bi
8 6 2
Direct
0.500 0.814 0.998
0.249 0.563 0.742
0.749 0.063 0.258
0.000 0.314 0.002
0.251 0.063 0.258
0.000 0.314 0.497
0.500 0.814 0.503
0.751 0.563 0.742
0.750 0.066 0.752
0.250 0.066 0.752
0.000 0.815 0.999
0.250 0.566 0.248
0.750 0.566 0.248
0.500 0.315 0.001
0.000 0.815 0.500
0.500 0.315 0.500
```

* M_tot: 0.00 μB/cell
* crystal system: orthorhombic

2.
Here is crystalline ThSnPt2 at its relaxed geometry from Alexandria via LeMat-Bulk. Energies are from GGA-PBE.

```
ThSnPt2
1.0
4.532 0.000 0.000
2.266 3.925 0.000
2.266 1.308 4.978
Pt Sn Th
2 1 1
Direct
0.776 0.776 0.671
0.224 0.224 0.329
0.500 0.500 0.500
0.000 0.000 0.000
```

* M_tot: 0.00 μB/cell
* crystal system: trigonal

3.
Here is crystalline HfZnFe at its relaxed geometry from Alexandria via LeMat-Bulk. Energies are from GGA-PBE.

```
HfZnFe
1.0
-2.029 1.706 -1.806
-1.319 -2.715 -1.083
-1.248 0.584 4.802
Fe Hf Zn
1 1 1
Direct
0.951 0.951 0.902
0.603 0.603 0.205
0.296 0.296 0.592
```

* M_tot: 0.02 μB/cell
* crystal system: tetragonal

| no. | N(E_F) (states/eV/f.u.) | E_form (eV per atom) |
| --- | --- | --- |
| 1 | 2.97 | 0.0129 |
| 2 | 2.03 | -0.9443 |
| 3 | 1.32 | -0.1156 |